# 1
Compound: Hf5Zr2Fe2Pd
Source: Alexandria
Functional: GGA-PBE
Structure: optimized geometry

The formation energy from the elements is -0.270 eV per atom. As for the total moment: 0.00 Bohr magnetons per cell.

It has space group P4/mbm (No. 127), with a = 10.945 Å, b = 10.945 Å, c = 3.240 Å, α = 90.00°, β = 90.00° and γ = 90.00°. The inequivalent atoms are Hf at (0.000, 0.500, 0.000), Hf at (0.058, 0.208, 0.000), Zr at (0.179, 0.679, 0.500), Fe at (0.133, 0.367, 0.500) and Pd at (0.000, 0.000, 0.500).

***

# 2
Compound: LiAcTbZn
Source: Alexandria
Functional: GGA-PBE
Structure: optimized geometry

The formation energy from the elements is -0.061 eV per atom. As for the total moment: 0.00 Bohr magnetons per cell.

It has space group F-43m (No. 216), with a = 7.611 Å, b = 7.611 Å, c = 7.611 Å, α = 90.00°, β = 90.00° and γ = 90.00°. The inequivalent atoms are Li at (0.000, 0.000, 0.000), Ac at (0.250, 0.250, 0.750), Tb at (0.250, 0.250, 0.250) and Zn at (0.000, 0.000, 0.500).

***

# 3
Compound: AcTl4Te
Source: Alexandria
Functional: GGA-PBE
Structure: optimized geometry

As for the formation energy (no corrections): -0.150 eV/atom. As for the total moment: 0.00 Bohr magnetons per cell.

It has space group F-43m (No. 216), with a = 9.151 Å, b = 9.151 Å, c = 9.151 Å, α = 90.00°, β = 90.00° and γ = 90.00°. The inequivalent atoms are Ac at (0.000, 0.000, 0.000), Tl at (0.125, 0.125, 0.625) and Te at (0.250, 0.250, 0.250).

***

# 4
Compound: LiNbTe3
Source: Alexandria
Functional: GGA-PBE
Structure: optimized geometry

As for the formation energy (no corrections): -0.501 eV/atom. As for the total moment: 0.00 Bohr magnetons per cell.

It has space group C2/c (No. 15), with a = 13.032 Å, b = 13.566 Å, c = 6.348 Å, α = 90.00°, β = 113.26° and γ = 90.00°. The inequivalent atoms are Li at (0.105, 0.080, 0.190), Nb at (0.000, 0.322, 0.750), Nb at (0.000, 0.442, 0.250), Te at (0.107, 0.138, 0.681), Te at (0.143, 0.292, 0.205) and Te at (0.163, 0.433, 0.709).

***

| no. | V (Å³ per atom) |
| --- | --- |
| 1 | 19.4 |
| 2 | 27.6 |
| 3 | 31.9 |
| 4 | 25.8 |